Record 1
## Sr2ZnCl (GGA-PBE)

Data for Sr2ZnCl after structural relaxation.

The structure in CIF format:
```
data_Sr2ZnCl
_chemical_formula_sum 'Sr8 Zn4 Cl4'
_symmetry_space_group_name_H-M 'F -4 3 m'
_symmetry_Int_Tables_number 216
_symmetry_space_group_name_Hall 'F -4 2 3'
_cell_length_a 8.221
_cell_length_b 8.221
_cell_length_c 8.221
_cell_angle_alpha 90.00
_cell_angle_beta 90.00
_cell_angle_gamma 90.00
loop_
_atom_site_label
_atom_site_type_symbol
_atom_site_fract_x
_atom_site_fract_y
_atom_site_fract_z
Sr1 Sr 0.000 0.000 0.000
Sr2 Sr 0.250 0.250 0.250
Zn1 Zn 0.250 0.250 0.750
Cl1 Cl 0.000 0.000 0.500
```

Summary:
Energy relative to the lowest polymorph listed for this composition (meV/atom): 742
Size of the total moment (Bohr magnetons per cell): 2.1

Record 2
## Y2Ge3Ir5 (GGA-PBE)

Data for Y2Ge3Ir5 after structural relaxation.

The structure in CIF format:
```
data_Y2Ge3Ir5
_chemical_formula_sum 'Y8 Ge12 Ir20'
_symmetry_space_group_name_H-M 'C m c 21'
_symmetry_Int_Tables_number 36
_cell_length_a 4.168
_cell_length_b 24.320
_cell_length_c 6.776
_cell_angle_alpha 90.00
_cell_angle_beta 90.00
_cell_angle_gamma 90.00
loop_
_symmetry_equiv_pos_as_xyz
'x,y,z'
'-x,-y,z+1/2'
'-x,y,z'
'x,-y,z+1/2'
'x+1/2,y+1/2,z'
'-x+1/2,-y+1/2,z+1/2'
'-x+1/2,y+1/2,z'
'x+1/2,-y+1/2,z+1/2'
loop_
_atom_site_label
_atom_site_type_symbol
_atom_site_fract_x
_atom_site_fract_y
_atom_site_fract_z
Y1 Y 0.000 0.022 0.000
Y2 Y 0.000 0.325 0.016
Ge1 Ge 0.000 0.111 0.731
Ge2 Ge 0.000 0.266 0.528
Ge3 Ge 0.000 0.455 0.795
Ir1 Ir 0.000 0.100 0.345
Ir2 Ir 0.000 0.207 0.231
Ir3 Ir 0.000 0.208 0.830
Ir4 Ir 0.000 0.368 0.553
Ir5 Ir 0.000 0.443 0.166
```

Summary:
DFT formation energy (meV per atom): -596
Size of the total moment (Bohr magnetons per cell): 0.0

Record 3
## AcNd4Er (GGA-PBE)

Data for AcNd4Er after structural relaxation.

The structure in CIF format:
```
data_AcNd4Er
_chemical_formula_sum 'Ac4 Nd16 Er4'
_symmetry_space_group_name_H-M 'C 1 2/c 1'
_symmetry_Int_Tables_number 15
_cell_length_a 7.163
_cell_length_b 20.187
_cell_length_c 6.046
_cell_angle_alpha 90.00
_cell_angle_beta 90.29
_cell_angle_gamma 90.00
loop_
_symmetry_equiv_pos_as_xyz
'x,y,z'
'-x,-y,-z'
'-x,y,-z+1/2'
'x,-y,z+1/2'
'x+1/2,y+1/2,z'
'-x+1/2,-y+1/2,-z'
'-x+1/2,y+1/2,-z+1/2'
'x+1/2,-y+1/2,z+1/2'
loop_
_atom_site_label
_atom_site_type_symbol
_atom_site_fract_x
_atom_site_fract_y
_atom_site_fract_z
Ac1 Ac 0.000 0.053 0.250
Nd1 Nd 0.242 0.386 0.250
Nd2 Nd 0.244 0.291 0.750
Er1 Er 0.000 0.450 0.750
```

Summary:
DFT formation energy (meV per atom): 171
Energy relative to the lowest polymorph listed for this composition (meV/atom): 0
Size of the total moment (Bohr magnetons per cell): 0.0

Sequential E output: -28.79; -308.19; -106.88 eV/cell